Compound: GdPu
Source: Alexandria
Functional: PBE
Structure: optimized geometry

Values from the calculation:
Its energy is -13.94 eV/atom. The value obtained for the total moment is 0.73 Bohr magnetons per cell. The value obtained for the density of states at the Fermi level is 6.010 states/eV per cell. The value obtained for the energy relative to the elements is 0.262 eV/atom.

a = 3.8718 Å, b = 3.8718 Å, c = 3.8718 Å
α = 90.00°, β = 90.00°, γ = 90.00°
Sites, in units of the cell vectors:
Gd 0.5000 0.5000 0.5000
Pu 0.0000 0.0000 0.0000



Compound: Gd3Pu
Source: Alexandria
Functional: PBE
Structure: optimized geometry

Values from the calculation:
Its energy is -13.95 eV/atom. The value obtained for the total moment is 14.43 Bohr magnetons per cell. The value obtained for the density of states at the Fermi level is 12.387 states/eV per cell. The value obtained for the energy relative to the elements is 0.191 eV/atom.

a = 5.6202 Å, b = 5.6202 Å, c = 5.6202 Å
α = 60.00°, β = 60.00°, γ = 60.00°
Sites, in units of the cell vectors:
Gd 0.0000 0.0000 0.0000
Gd 0.7500 0.7500 0.7500
Gd 0.2500 0.2500 0.2500
Pu 0.5000 0.5000 0.5000